Arrangement a

## Ta2SbBr (PBE-GGA)

Data for a relaxed Ta2SbBr crystal.

Properties
For the density of states at the Fermi level, the calculation gives 0.9394 states/eV per atom. For the mass density, the calculation gives 11.5 Mg/m³. As for the crystal system: orthorhombic. The total magnetization is 0.0 μB per cell. The symmetry is Cmmm, No. 65.

Cell: 3.1321 3.1321 9.1944 Å, 90.00 90.00 115.21°
Fractional coordinates of all 4 atoms:
Sb  0.5000  0.5000  0.7500
Br  0.5000  0.5000  0.2500
Ta  0.0000  0.0000  0.9968
Ta  0.0000  0.0000  0.5032

---

Arrangement b

## Ta2SbBr (PBE-GGA)

Data for a relaxed Ta2SbBr crystal.

Properties
For the density of states at the Fermi level, the calculation gives 0.5820 states/eV per atom. For the mass density, the calculation gives 9.8 Mg/m³. As for the crystal system: tetragonal. The total magnetization is 0.0 μB per cell. The symmetry is P4mm, No. 99.

Cell: 3.4252 3.4252 8.1453 Å, 90.00 90.00 90.00°
Fractional coordinates of all 4 atoms:
Sb  0.5000  0.5000  0.8298
Br  0.0000  0.0000  0.4424
Ta  0.0000  0.0000  0.0249
Ta  0.5000  0.5000  0.2029

---

Arrangement c

## Ta2SbBr (PBE-GGA)

Data for a relaxed Ta2SbBr crystal.

Properties
For the density of states at the Fermi level, the calculation gives 0.9146 states/eV per atom. For the mass density, the calculation gives 11.9 Mg/m³. As for the crystal system: trigonal. The total magnetization is 0.0 μB per cell. The symmetry is R-3m, No. 166.

Cell: 9.3808 9.3808 9.3808 Å, 19.27 19.27 19.27°
Fractional coordinates of all 4 atoms:
Sb  0.7500  0.7500  0.7500
Br  0.2500  0.2500  0.2500
Ta  0.9983  0.9983  0.9983
Ta  0.5017  0.5017  0.5017

---

arrangement b wins, 0.329 eV/atom ahead of the next structure.

---

Arrangement a

## TaSb2Br (PBE-GGA)

Data for a relaxed TaSb2Br crystal.

Properties
For the density of states at the Fermi level, the calculation gives 1.0216 states/eV per atom. For the mass density, the calculation gives 9.2 Mg/m³. As for the crystal system: orthorhombic. The total magnetization is 0.0 μB per cell. The symmetry is Pmmm, No. 47.

Cell: 3.3228 5.2921 5.1987 Å, 90.00 90.00 90.00°
Fractional coordinates of all 4 atoms:
Sb  0.0000  0.0000  0.0000
Sb  0.5000  0.5000  0.0000
Br  0.0000  0.5000  0.5000
Ta  0.5000  0.0000  0.5000

---

Arrangement b

## TaSb2Br (PBE-GGA)

Data for a relaxed TaSb2Br crystal.

Properties
For the density of states at the Fermi level, the calculation gives 0.5230 states/eV per atom. For the mass density, the calculation gives 6.5 Mg/m³. As for the crystal system: monoclinic. The total magnetization is 0.1 μB per cell. The symmetry is Cm, No. 8.

Cell: 5.3755 5.3755 7.7301 Å, 76.34 76.34 36.71°
Fractional coordinates of all 4 atoms:
Sb  0.9708  0.9708  0.9166
Sb  0.8229  0.8229  0.6438
Br  0.1563  0.1563  0.3402
Ta  0.5500  0.5500  0.5994

---

Arrangement c

## TaSb2Br (PBE-GGA)

Data for a relaxed TaSb2Br crystal.

Properties
For the density of states at the Fermi level, the calculation gives 0.7204 states/eV per atom. For the mass density, the calculation gives 8.7 Mg/m³. As for the crystal system: monoclinic. The total magnetization is 0.0 μB per cell. The symmetry is C2/m, No. 12.

Cell: 7.7042 5.6912 3.1831 Å, 75.65 87.30 131.58°
Fractional coordinates of all 4 atoms:
Sb  0.0000  0.0000  0.0000
Sb  0.5000  0.0000  0.5000
Br  0.5000  0.5000  0.0000
Ta  0.0000  0.5000  0.5000

---

arrangement b wins, 0.448 eV/atom ahead of the next structure.

---

Arrangement a

## Tb2SbBr (PBE-GGA)

Data for a relaxed Tb2SbBr crystal.

Properties
For the density of states at the Fermi level, the calculation gives 0.4045 states/eV per atom. For the mass density, the calculation gives 5.5 Mg/m³. As for the crystal system: trigonal. The total magnetization is 0.0 μB per cell. The symmetry is R-3m, No. 166.

Cell: 4.6499 4.6499 8.7737 Å, 74.63 74.63 60.00°
Fractional coordinates of all 4 atoms:
Sb  0.5000  0.5000  0.5000
Tb  0.1124  0.1124  0.6629
Tb  0.8876  0.8876  0.3371
Br  0.0000  0.0000  0.0000

---

Arrangement b

## Tb2SbBr (PBE-GGA)

Data for a relaxed Tb2SbBr crystal.

Properties
For the density of states at the Fermi level, the calculation gives 0.4791 states/eV per atom. For the mass density, the calculation gives 7.4 Mg/m³. As for the crystal system: trigonal. The total magnetization is 0.0 μB per cell. The symmetry is R3m, No. 160.

Cell: 4.2251 4.2251 7.9183 Å, 74.53 74.53 60.00°
Fractional coordinates of all 4 atoms:
Tb  0.0762  0.0762  0.7714
Tb  0.2577  0.2577  0.2270
Sb  0.6682  0.6682  0.9955
Br  0.4980  0.4980  0.5061

---

arrangement b wins, 0.086 eV/atom ahead of the next structure.

---

Arrangement a

## TcSb2Br (PBE-GGA)

Data for a relaxed TcSb2Br crystal.

Properties
For the density of states at the Fermi level, the calculation gives 0.6299 states/eV per atom. For the mass density, the calculation gives 7.8 Mg/m³. As for the crystal system: tetragonal. The total magnetization is 0.0 μB per cell. The symmetry is P4/mmm, No. 123.

Cell: 3.3438 3.3438 8.0741 Å, 90.00 90.00 90.00°
Fractional coordinates of all 4 atoms:
Sb  0.0000  0.0000  0.0524
Sb  0.0000  0.0000  0.4476
Tc  0.5000  0.5000  0.2500
Br  0.5000  0.5000  0.7500

---

Arrangement b

## TcSb2Br (PBE-GGA)

Data for a relaxed TcSb2Br crystal.

Properties
For the density of states at the Fermi level, the calculation gives 0.8120 states/eV per atom. For the mass density, the calculation gives 7.2 Mg/m³. As for the crystal system: tetragonal. The total magnetization is 0.6 μB per cell. The symmetry is P4mm, No. 99.

Cell: 3.5259 3.5240 7.8722 Å, 90.00 90.00 90.00°
Each line ends with the local moment (μB).
Fractional coordinates of all 4 atoms:
Sb  0.0000  0.0000  0.0661  0.00
Sb  0.5000  0.5000  0.3016  -0.01
Tc  0.0000  0.0000  0.4406  0.50
Br  0.5000  0.5000  0.6916  0.03

---

Arrangement c

## TcSb2Br (PBE-GGA)

Data for a relaxed TcSb2Br crystal.

Properties
For the density of states at the Fermi level, the calculation gives 0.9294 states/eV per atom. For the mass density, the calculation gives 7.3 Mg/m³. As for the crystal system: tetragonal. The total magnetization is 2.6 μB per cell. The symmetry is P4/mmm, No. 123.

Cell: 5.3598 4.2435 4.2435 Å, 90.00 90.00 90.00°
Each line ends with the local moment (μB).
Fractional coordinates of all 4 atoms:
Sb  0.0000  0.0000  0.0000  -0.07
Sb  0.0000  0.5000  0.5000  -0.07
Tc  0.5000  0.5000  0.0000  2.60
Br  0.5000  0.0000  0.5000  -0.02

---

Arrangement d

## TcSb2Br (PBE-GGA)

Data for a relaxed TcSb2Br crystal.

Properties
For the density of states at the Fermi level, the calculation gives 0.5687 states/eV per atom. For the mass density, the calculation gives 8.2 Mg/m³. As for the crystal system: tetragonal. The total magnetization is 0.0 μB per cell. The symmetry is I4/mmm, No. 139.

Cell: 5.2124 5.2124 5.2124 Å, 127.95 127.95 76.70°
Fractional coordinates of all 4 atoms:
Sb  0.0000  0.0000  0.0000
Sb  0.5000  0.5000  0.0000
Tc  0.2500  0.7500  0.5000
Br  0.7500  0.2500  0.5000

---

arrangement a wins, 0.311 eV/atom ahead of the next structure.